Record 1
The following is a PBE-GGA calculation of a relaxed structure of CoReTe2, from Alexandria via LeMat-Bulk.

The structure belongs to space group F-43m (No. 216); the cell edges are 6.7214, 6.7214 and 6.7214 Å and the angles 90.00°, 90.00° and 90.00°. Symmetry generates all atoms from Co at (0.0000, 0.0000, 0.0000), Re at (0.2500, 0.2500, 0.7500), Te at (0.0000, 0.0000, 0.5000) and Te at (0.2500, 0.2500, 0.2500).

The calculation puts the uncorrected formation energy at 1.240 eV per atom. The value obtained for the energy relative to the lowest polymorph listed for this composition is 1128 meV/atom.

***

Record 2
The following is a PBE-GGA calculation of a relaxed structure of Li5Cd3F12, from Alexandria via LeMat-Bulk.

The structure belongs to space group Ia-3d (No. 230); the cell edges are 12.3624, 12.3624 and 12.3624 Å and the angles 90.00°, 90.00° and 90.00°. Symmetry generates all atoms from Li at (0.0000, 0.0000, 0.0000), Li at (0.0000, 0.2500, 0.3750), Cd at (0.0000, 0.2500, 0.1250) and F at (0.0264, 0.0594, 0.6531).

The calculation puts the uncorrected formation energy at -2.431 eV per atom.

***

Record 3
The following is a PBE-GGA calculation of a relaxed structure of NaTa2Cd, from Alexandria via LeMat-Bulk.

The structure belongs to space group I-42d (No. 122); the cell edges are 7.9953, 7.9953 and 5.2932 Å and the angles 90.00°, 90.00° and 90.00°. Symmetry generates all atoms from Na at (0.0000, 0.0000, 0.0000), Ta at (0.2397, 0.2500, 0.6250) and Cd at (0.0000, 0.0000, 0.5000).

As for the formation energy: 1236 meV/atom.

***

Record 4
The following is a PBE-GGA calculation of a relaxed structure of Be2Hg2Au, from Alexandria via LeMat-Bulk.

The structure belongs to space group P4/mbm (No. 127); the cell edges are 6.4674, 6.4674 and 3.8667 Å and the angles 90.00°, 90.00° and 90.00°. Symmetry generates all atoms from Be at (0.1357, 0.3643, 0.0000), Hg at (0.1642, 0.6642, 0.5000) and Au at (0.0000, 0.0000, 0.0000).

The value obtained for the energy relative to the lowest polymorph listed for this composition is 0 meV/atom. As for the formation energy: 287 meV/atom.

***

Record 5
The following is a PBE-GGA calculation of a relaxed structure of PuP2Pd6, from Alexandria via LeMat-Bulk.

The structure belongs to space group P4/mmm (No. 123); the cell edges are 4.0373, 4.0373 and 8.8474 Å and the angles 90.00°, 90.00° and 90.00°. Symmetry generates all atoms from Pu at (0.0000, 0.0000, 0.0000), P at (0.5000, 0.5000, 0.1244), Pd at (0.0000, 0.0000, 0.5000), Pd at (0.0000, 0.5000, 0.2734) and Pd at (0.5000, 0.5000, 0.5000).

As for the formation energy: -518 meV/atom.

***

Record 6
The following is a PBE-GGA calculation of a relaxed structure of NiB3Os, from Alexandria via LeMat-Bulk.

The structure belongs to space group Pm-3m (No. 221); the cell edges are 4.0339, 4.0339 and 4.0339 Å and the angles 90.00°, 90.00° and 90.00°. Symmetry generates all atoms from Ni at (0.0000, 0.0000, 0.0000), B at (0.0000, 0.5000, 0.5000) and Os at (0.5000, 0.5000, 0.5000).

The value obtained for the energy relative to the lowest polymorph listed for this composition is 0 meV/atom. As for the formation energy: 1147 meV/atom.

***

Record 7
The following is a PBE-GGA calculation of a relaxed structure of CaAg2Pt, from Alexandria via LeMat-Bulk.

The structure belongs to space group I-42d (No. 122); the cell edges are 4.0641, 4.0641 and 20.5336 Å and the angles 90.00°, 90.00° and 90.00°. Symmetry generates all atoms from Ca at (0.0000, 0.0000, 0.0000), Ag at (0.2266, 0.2500, 0.6250) and Pt at (0.0000, 0.0000, 0.5000).

As for the formation energy: -204 meV/atom.

***

Record 8
The following is a PBE-GGA calculation of a relaxed structure of KY2Cu, from Alexandria via LeMat-Bulk.

The structure belongs to space group Cm (No. 8); the cell edges are 12.5988, 3.5801 and 6.8400 Å and the angles 90.00°, 121.82° and 90.00°. Symmetry generates all atoms from K at (0.0000, 0.0000, 0.0000), Y at (0.1276, 0.5000, 0.6317), Y at (0.3257, 0.5000, 0.2947) and Cu at (0.2840, 0.0000, 0.5648).

The value obtained for the energy relative to the lowest polymorph listed for this composition is 242 meV/atom. As for the formation energy: 360 meV/atom.

***

Record 9
The following is a PBE-GGA calculation of a relaxed structure of ThPaTc2, from Alexandria via LeMat-Bulk.

The structure belongs to space group Fm-3m (No. 225); the cell edges are 7.0117, 7.0117 and 7.0117 Å and the angles 90.00°, 90.00° and 90.00°. Symmetry generates all atoms from Th at (0.0000, 0.0000, 0.0000), Pa at (0.0000, 0.0000, 0.5000) and Tc at (0.2500, 0.2500, 0.2500).

The value obtained for the energy relative to the lowest polymorph listed for this composition is 92 meV/atom. As for the formation energy: -65 meV/atom.

***

Record 10
The following is a PBE-GGA calculation of a relaxed structure of MgAlSb2, from Alexandria via LeMat-Bulk.

The structure belongs to space group Pmmm (No. 47); the cell edges are 4.1248, 4.3286 and 5.3502 Å and the angles 90.00°, 90.00° and 90.00°. Symmetry generates all atoms from Mg at (0.0000, 0.0000, 0.0000), Al at (0.0000, 0.5000, 0.5000), Sb at (0.5000, 0.0000, 0.5000) and Sb at (0.5000, 0.5000, 0.0000).

The calculation puts the uncorrected formation energy at 0.057 eV per atom. The value obtained for the energy relative to the lowest polymorph listed for this composition is 128 meV/atom.

***

Record 11
The following is a PBE-GGA calculation of a relaxed structure of FeCCl2, from Alexandria via LeMat-Bulk.

The structure belongs to space group R-3m (No. 166, hexagonal axes); the cell edges are 3.2753, 3.2753 and 22.9087 Å and the angles 90.00°, 90.00° and 120.00°. Symmetry generates all atoms from Fe at (0.0000, 0.0000, 0.0000), C at (0.0000, 0.0000, 0.5000) and Cl at (0.0000, 0.0000, 0.4005).

The calculation puts the uncorrected formation energy at 1.265 eV per atom. The value obtained for the energy relative to the lowest polymorph listed for this composition is 0 meV/atom.

***

Record 12
The following is a PBE-GGA calculation of a relaxed structure of PmPr2Si2Ni2, from Alexandria via LeMat-Bulk.

The structure belongs to space group R-3m (No. 166, hexagonal axes); the cell edges are 4.0610, 4.0610 and 34.6886 Å and the angles 90.00°, 90.00° and 120.00°. Symmetry generates all atoms from Pm at (0.0000, 0.0000, 0.0000), Pr at (0.0000, 0.0000, 0.1150), Si at (0.0000, 0.0000, 0.2740) and Ni at (0.0000, 0.0000, 0.3928).

The calculation puts the uncorrected formation energy at -0.602 eV per atom.

***

Record 13
The following is a PBE-GGA calculation of a relaxed structure of TaTiMnOs, from Alexandria via LeMat-Bulk.

The structure belongs to space group P4mm (No. 99); the cell edges are 3.0837, 3.0837 and 6.1716 Å and the angles 90.00°, 90.00° and 90.00°. Symmetry generates all atoms from Ta at (0.0000, 0.0000, 0.0000), Ti at (0.0000, 0.0000, 0.5208), Mn at (0.5000, 0.5000, 0.7595) and Os at (0.5000, 0.5000, 0.2669).

As for the formation energy: -451 meV/atom.

***

Record 14
The following is a PBE-GGA calculation of a relaxed structure of Cu2SnRh, from Alexandria via LeMat-Bulk.

The structure belongs to space group I-42d (No. 122); the cell edges are 3.7264, 3.7264 and 18.8484 Å and the angles 90.00°, 90.00° and 90.00°. Symmetry generates all atoms from Cu at (0.2339, 0.2500, 0.1250), Sn at (0.0000, 0.0000, 0.5000) and Rh at (0.0000, 0.0000, 0.0000).

As for the formation energy: 95 meV/atom.

***

Record 15
The following is a PBE-GGA calculation of a relaxed structure of LiB4, from Alexandria via LeMat-Bulk.

The structure belongs to space group P4/mbm (No. 127); the cell edges are 6.9537, 6.9537 and 4.0794 Å and the angles 90.00°, 90.00° and 90.00°. Symmetry generates all atoms from Li at (0.2110, 0.2890, 0.0000), B at (0.0000, 0.0000, 0.2019), B at (0.0289, 0.8209, 0.5000) and B at (0.0912, 0.5912, 0.5000).

The value obtained for the energy relative to the lowest polymorph listed for this composition is 0 meV/atom. As for the formation energy: 29 meV/atom.

***

Record 16
The following is a PBE-GGA calculation of a relaxed structure of NdYTlNi, from Alexandria via LeMat-Bulk.

The structure belongs to space group F-43m (No. 216); the cell edges are 7.3687, 7.3687 and 7.3687 Å and the angles 90.00°, 90.00° and 90.00°. Symmetry generates all atoms from Nd at (0.0000, 0.0000, 0.0000), Y at (0.0000, 0.0000, 0.5000), Tl at (0.2500, 0.2500, 0.2500) and Ni at (0.2500, 0.2500, 0.7500).

As for the formation energy: -215 meV/atom.

***

Record 17
The following is a PBE-GGA calculation of a relaxed structure of Pr2Hg4Pb, from Alexandria via LeMat-Bulk.

The structure belongs to space group I4/mmm (No. 139); the cell edges are 5.6746, 5.6746 and 15.7765 Å and the angles 90.00°, 90.00° and 90.00°. Symmetry generates all atoms from Pr at (0.0000, 0.0000, 0.1106), Hg at (0.0000, 0.0000, 0.3058), Hg at (0.0000, 0.5000, 0.0000) and Pb at (0.0000, 0.0000, 0.5000).

The value obtained for the energy relative to the lowest polymorph listed for this composition is 420 meV/atom. As for the formation energy: 59 meV/atom.

***

Record 18
The following is a PBE-GGA calculation of a relaxed structure of ScNbSeI2, from Alexandria via LeMat-Bulk.

The structure belongs to space group P4/mmm (No. 123); the cell edges are 5.3936, 5.3936 and 6.0763 Å and the angles 90.00°, 90.00° and 90.00°. Symmetry generates all atoms from Sc at (0.0000, 0.0000, 0.0000), Nb at (0.0000, 0.0000, 0.5000), Se at (0.5000, 0.5000, 0.5000) and I at (0.0000, 0.5000, 0.0000).

The calculation puts the uncorrected formation energy at 0.637 eV per atom.

***

Record 19
The following is a PBE-GGA calculation of a relaxed structure of Pm2YTe, from Alexandria via LeMat-Bulk.

The structure belongs to space group Cmcm (No. 63); the cell edges are 4.0397, 12.2273 and 10.1133 Å and the angles 90.00°, 90.00° and 90.00°. Symmetry generates all atoms from Pm at (0.0000, 0.1349, 0.0387), Y at (0.0000, 0.4390, 0.2500) and Te at (0.0000, 0.2642, 0.7500).

The calculation puts the uncorrected formation energy at -0.685 eV per atom. The value obtained for the energy relative to the lowest polymorph listed for this composition is 0 meV/atom.

***

Record 20
The following is a PBE-GGA calculation of a relaxed structure of Cs2NdInI6, from Alexandria via LeMat-Bulk.

The structure belongs to space group P2_1/c (No. 14); the cell edges are 8.7779, 9.3032 and 15.4106 Å and the angles 90.00°, 124.33° and 90.00°. Symmetry generates all atoms from Cs at (0.2235, 0.0766, 0.2503), Nd at (0.5000, 0.0000, 0.0000), In at (0.0000, 0.0000, 0.5000), I at (0.1637, 0.1856, 0.9552), I at (0.2724, 0.7157, 0.9544) and I at (0.3535, 0.0186, 0.7622).

The calculation puts the uncorrected formation energy at -1.306 eV per atom.